RbScC after structural relaxation, computed with GGA-PBE.

For the formation energy, the calculation gives 345 meV/atom. The value obtained for the electronic total energy is -5.163 eV per atom. The space group is P2_1/m. As for the crystal system: monoclinic.

abc: 3.356 5.893 9.518
angles: 90.00 92.44 90.00
Element x y z (fractional)
Rb 0.035 0.250 0.299
Rb 0.965 0.750 0.701
Sc 0.494 0.250 0.947
Sc 0.506 0.750 0.053
C 0.000 0.000 0.000
C 0.000 0.500 0.000